a | {"formula": "ZrNbCd", "functional": "PBE", "state": "optimized geometry", "lattice_angstrom": [[-2.904, 0.935, -1.339], [-1.459, -0.258, 2.983], [2.517, 10.935, 2.177]], "species": ["Zr", "Zr", "Nb", "Nb", "Cd", "Cd"], "fractional_positions": [[0.872, 0.291, 0.530], [0.373, 0.791, 0.983], [0.872, 0.291, 0.822], [0.372, 0.791, 0.690], [0.873, 0.291, 0.170], [0.372, 0.791, 0.342]], "dos_ef_per_ev_fu": 1.4}


b | {"formula": "ZrNbCd", "functional": "PBE", "state": "optimized geometry", "lattice_angstrom": [[-2.122, -0.889, -2.732], [-0.296, -3.310, 1.307], [-2.700, 3.472, 3.302]], "species": ["Nb", "Zr", "Cd"], "fractional_positions": [[0.667, 0.667, 0.334], [0.328, 0.328, 0.655], [0.005, 0.005, 0.010]], "dos_ef_per_ev_fu": 3.7}


c | {"formula": "ZrNbCd", "functional": "PBE", "state": "optimized geometry", "lattice_angstrom": [[-0.593, -2.232, 5.229], [3.327, -4.891, 1.414], [2.811, 1.412, 4.046]], "species": ["Cd", "Cd", "Nb", "Nb", "Zr", "Zr"], "fractional_positions": [[0.750, 0.500, 0.500], [0.250, 0.500, 0.500], [0.887, 0.226, 0.000], [0.113, 0.774, 0.000], [0.665, 0.000, 0.670], [0.335, 0.000, 0.330]], "dos_ef_per_ev_fu": 2.9}


Tell me which of them is the least stable. Sure, it is c.


a | {"formula": "Zr2NbCd2", "functional": "PBE", "state": "optimized geometry", "lattice_angstrom": [[-4.379, -3.821, 0.101], [-0.918, -8.014, 2.505], [-3.816, -2.885, 3.302]], "species": ["Zr", "Zr", "Nb", "Cd", "Cd"], "fractional_positions": [[0.781, 0.132, 0.781], [0.219, 0.868, 0.219], [0.000, 0.500, 0.000], [0.404, 0.309, 0.404], [0.596, 0.691, 0.596]], "dos_ef_per_ev_fu": 3.7}


b | {"formula": "Zr2NbCd2", "functional": "PBE", "state": "optimized geometry", "lattice_angstrom": [[7.979, 0.000, 0.000], [0.000, 7.979, 0.000], [0.000, 0.000, 3.411]], "species": ["Nb", "Nb", "Zr", "Zr", "Zr", "Zr", "Cd", "Cd", "Cd", "Cd"], "fractional_positions": [[0.000, 0.000, 0.000], [0.500, 0.500, 0.000], [0.179, 0.679, 0.500], [0.679, 0.821, 0.500], [0.821, 0.321, 0.500], [0.321, 0.179, 0.500], [0.377, 0.877, 0.000], [0.877, 0.623, 0.000], [0.623, 0.123, 0.000], [0.123, 0.377, 0.000]], "dos_ef_per_ev_fu": 7.0}


Tell me which of them is the least stable. Sure, it is b.


a | {"formula": "Nd2Cd3", "functional": "PBE", "state": "optimized geometry", "lattice_angstrom": [[5.153, 0.000, 0.000], [2.577, 4.463, 0.000], [2.577, 1.488, 5.922]], "species": ["Nd", "Nd", "Cd", "Cd", "Cd"], "fractional_positions": [[0.404, 0.404, 0.788], [0.596, 0.596, 0.212], [0.000, 0.000, 0.000], [0.812, 0.812, 0.563], [0.188, 0.188, 0.437]], "dos_ef_per_ev_fu": 3.2}


b | {"formula": "Nd2Cd3", "functional": "PBE", "state": "optimized geometry", "lattice_angstrom": [[-2.482, 0.329, 2.473], [-3.515, -1.456, -3.335], [3.377, -14.639, 2.831]], "species": ["Nd", "Nd", "Nd", "Nd", "Cd", "Cd", "Cd", "Cd", "Cd", "Cd"], "fractional_positions": [[0.287, 0.750, 0.573], [0.713, 0.250, 0.427], [0.574, 0.750, 0.147], [0.426, 0.250, 0.853], [0.173, 0.750, 0.346], [0.827, 0.250, 0.654], [0.880, 0.750, 0.761], [0.120, 0.250, 0.239], [0.023, 0.250, 0.047], [0.977, 0.750, 0.953]], "dos_ef_per_ev_fu": 4.4}


Tell me which of them is the least stable. Sure, it is a.


a | {"formula": "Nd5Cd", "functional": "PBE", "state": "optimized geometry", "lattice_angstrom": [[0.792, 2.285, 2.927], [3.319, -5.827, 6.112], [6.597, 0.140, 0.567]], "species": ["Nd", "Nd", "Nd", "Nd", "Nd", "Cd"], "fractional_positions": [[0.036, 0.985, 0.944], [0.671, 0.635, 0.022], [0.335, 0.286, 0.044], [0.369, 0.775, 0.487], [0.039, 0.401, 0.520], [0.717, 0.085, 0.482]], "dos_ef_per_ev_fu": 6.6}


b | {"formula": "Nd5Cd", "functional": "PBE", "state": "optimized geometry", "lattice_angstrom": [[-2.206, 0.148, -2.972], [2.697, -1.464, -2.075], [-4.913, -13.280, 2.984]], "species": ["Nd", "Nd", "Nd", "Nd", "Nd", "Cd"], "fractional_positions": [[0.000, 0.000, 0.644], [0.500, 0.500, 0.821], [0.000, 0.000, 0.000], [0.500, 0.500, 0.179], [0.000, 0.000, 0.356], [0.500, 0.500, 0.500]], "dos_ef_per_ev_fu": 7.6}


c | {"formula": "Nd5Cd", "functional": "PBE", "state": "optimized geometry", "lattice_angstrom": [[5.048, 0.000, 0.000], [0.000, 5.000, 0.000], [0.000, -2.500, 7.775]], "species": ["Nd", "Nd", "Nd", "Nd", "Nd", "Cd"], "fractional_positions": [[0.500, 0.834, 0.667], [0.000, 0.663, 0.326], [0.500, 0.500, 0.000], [0.000, 0.337, 0.674], [0.500, 0.166, 0.333], [0.000, 0.000, 0.000]], "dos_ef_per_ev_fu": 8.0}


Tell me which of them is the least stable. Sure, it is c.


a | {"formula": "NdCd11", "functional": "PBE", "state": "optimized geometry", "lattice_angstrom": [[-6.382, -2.949, -3.336], [1.326, -3.500, -8.519], [-1.464, -9.030, 1.705]], "species": ["Nd", "Nd", "Cd", "Cd", "Cd", "Cd", "Cd", "Cd", "Cd", "Cd", "Cd", "Cd", "Cd", "Cd", "Cd", "Cd", "Cd", "Cd", "Cd", "Cd", "Cd", "Cd", "Cd", "Cd"], "fractional_positions": [[0.500, 0.000, 0.000], [0.250, 0.500, 0.500], [0.424, 0.822, 0.418], [0.665, 0.178, 0.582], [0.000, 0.000, 0.000], [0.750, 0.500, 0.500], [0.375, 0.750, 0.750], [0.875, 0.750, 0.250], [0.875, 0.250, 0.750], [0.875, 0.250, 0.250], [0.424, 0.418, 0.822], [0.996, 0.678, 0.918], [0.593, 0.322, 0.082], [0.665, 0.582, 0.178], [0.754, 0.582, 0.822], [0.157, 0.418, 0.178], [0.085, 0.322, 0.918], [0.326, 0.678, 0.082], [0.326, 0.082, 0.678], [0.754, 0.822, 0.582], [0.157, 0.178, 0.418], [0.085, 0.918, 0.322], [0.996, 0.918, 0.678], [0.593, 0.082, 0.322]], "dos_ef_per_ev_fu": 4.1}


b | {"formula": "NdCd11", "functional": "PBE", "state": "optimized geometry", "lattice_angstrom": [[9.418, 0.000, 0.000], [0.000, 9.418, 0.000], [0.000, 0.000, 9.418]], "species": ["Nd", "Nd", "Nd", "Cd", "Cd", "Cd", "Cd", "Cd", "Cd", "Cd", "Cd", "Cd", "Cd", "Cd", "Cd", "Cd", "Cd", "Cd", "Cd", "Cd", "Cd", "Cd", "Cd", "Cd", "Cd", "Cd", "Cd", "Cd", "Cd", "Cd", "Cd", "Cd", "Cd", "Cd", "Cd", "Cd"], "fractional_positions": [[0.000, 0.000, 0.500], [0.000, 0.500, 0.000], [0.500, 0.000, 0.000], [0.500, 0.500, 0.500], [0.156, 0.156, 0.844], [0.156, 0.844, 0.156], [0.844, 0.156, 0.156], [0.844, 0.844, 0.844], [0.844, 0.844, 0.156], [0.844, 0.156, 0.844], [0.156, 0.844, 0.844], [0.156, 0.156, 0.156], [0.345, 0.345, 0.000], [0.345, 0.000, 0.655], [0.000, 0.345, 0.655], [0.345, 0.655, 0.000], [0.345, 0.000, 0.345], [0.000, 0.655, 0.345], [0.655, 0.345, 0.000], [0.655, 0.000, 0.345], [0.000, 0.345, 0.345], [0.655, 0.655, 0.000], [0.655, 0.000, 0.655], [0.000, 0.655, 0.655], [0.266, 0.266, 0.500], [0.266, 0.500, 0.734], [0.500, 0.266, 0.734], [0.266, 0.734, 0.500], [0.266, 0.500, 0.266], [0.500, 0.734, 0.266], [0.734, 0.266, 0.500], [0.734, 0.500, 0.266], [0.500, 0.266, 0.266], [0.734, 0.734, 0.500], [0.734, 0.500, 0.734], [0.500, 0.734, 0.734]], "dos_ef_per_ev_fu": 2.8}


Tell me which of them is the least stable. Sure, it is a.


a | {"formula": "Nd4Cd2O", "functional": "PBE", "state": "optimized geometry", "lattice_angstrom": [[3.501, 0.000, 0.000], [0.000, 4.750, -1.797], [0.000, 1.947, 12.325]], "species": ["Nd", "Nd", "Nd", "Nd", "Cd", "Cd", "O"], "fractional_positions": [[0.500, 0.568, 0.135], [0.000, 0.700, 0.399], [0.500, 0.432, 0.865], [0.000, 0.300, 0.601], [0.500, 0.156, 0.312], [0.500, 0.844, 0.688], [0.000, 0.500, 0.000]], "dos_ef_per_ev_fu": 6.7}


b | {"formula": "Nd4Cd2O", "functional": "PBE", "state": "optimized geometry", "lattice_angstrom": [[4.967, 0.000, 0.000], [0.000, 4.967, 0.000], [2.484, 2.484, 7.832]], "species": ["Nd", "Nd", "Nd", "Nd", "O", "Cd", "Cd"], "fractional_positions": [[0.828, 0.828, 0.343], [0.172, 0.172, 0.657], [0.000, 0.500, 0.000], [0.500, 0.000, 0.000], [0.000, 0.000, 0.000], [0.631, 0.631, 0.738], [0.369, 0.369, 0.262]], "dos_ef_per_ev_fu": 4.2}


Tell me which of them is the least stable. Sure, it is a.


a | {"formula": "NdCdO", "functional": "PBE", "state": "optimized geometry", "lattice_angstrom": [[-2.564, -1.343, 2.495], [-2.305, -0.968, -2.890], [6.329, -6.983, -0.183]], "species": ["Nd", "Nd", "Cd", "Cd", "O", "O"], "fractional_positions": [[0.080, 0.080, 0.160], [0.920, 0.920, 0.840], [0.288, 0.288, 0.577], [0.712, 0.712, 0.423], [0.500, 0.000, 0.000], [0.000, 0.500, 0.000]], "dos_ef_per_ev_fu": 1.8}


b | {"formula": "NdCdO", "functional": "PBE", "state": "optimized geometry", "lattice_angstrom": [[-2.640, -0.032, 3.072], [-1.278, -3.671, -1.137], [5.703, -3.493, 4.864]], "species": ["Nd", "Nd", "Cd", "Cd", "O", "O"], "fractional_positions": [[0.250, 0.750, 0.360], [0.750, 0.250, 0.640], [0.250, 0.750, 0.924], [0.750, 0.250, 0.076], [0.750, 0.750, 0.500], [0.250, 0.250, 0.500]], "dos_ef_per_ev_fu": 1.2}


Tell me which of them is the least stable. Sure, it is a.


a | {"formula": "Nd2CdOs", "functional": "PBE", "state": "optimized geometry", "lattice_angstrom": [[4.111, 0.000, 0.000], [2.056, 3.560, 0.000], [2.056, 1.187, 10.024]], "species": ["Nd", "Nd", "Os", "Cd"], "fractional_positions": [[0.116, 0.116, 0.651], [0.884, 0.884, 0.349], [0.500, 0.500, 0.500], [0.000, 0.000, 0.000]], "dos_ef_per_ev_fu": 3.0}


b | {"formula": "Nd2CdOs", "functional": "PBE", "state": "optimized geometry", "lattice_angstrom": [[3.527, 0.000, 0.000], [0.000, 3.527, 0.000], [0.000, 0.000, 8.213]], "species": ["Nd", "Nd", "Os", "Cd"], "fractional_positions": [[0.000, 0.000, 0.788], [0.000, 0.000, 0.212], [0.500, 0.500, 0.000], [0.500, 0.500, 0.500]], "dos_ef_per_ev_fu": 3.5}


c | {"formula": "Nd2CdOs", "functional": "PBE", "state": "optimized geometry", "lattice_angstrom": [[-0.280, -4.770, 2.005], [4.221, -2.201, 2.049], [0.339, -0.680, 5.126]], "species": ["Nd", "Nd", "Os", "Cd"], "fractional_positions": [[0.250, 0.250, 0.250], [0.750, 0.750, 0.750], [0.000, 0.000, 0.000], [0.500, 0.500, 0.500]], "dos_ef_per_ev_fu": 4.3}


Tell me which of them is the least stable. Sure, it is a.


a | {"formula": "NdCd2Pb", "functional": "PBE", "state": "optimized geometry", "lattice_angstrom": [[-0.580, 2.518, 2.742], [2.296, -1.942, 2.269], [6.076, 4.190, -2.562]], "species": ["Pb", "Nd", "Cd", "Cd"], "fractional_positions": [[0.500, 0.500, 0.000], [0.500, 0.500, 0.500], [0.000, 0.000, 0.759], [0.000, 0.000, 0.241]], "dos_ef_per_ev_fu": 2.2}


b | {"formula": "NdCd2Pb", "functional": "PBE", "state": "optimized geometry", "lattice_angstrom": [[-2.236, -2.834, -3.370], [-0.521, -3.343, 3.157], [-4.093, 1.785, 1.215]], "species": ["Pb", "Nd", "Cd", "Cd"], "fractional_positions": [[0.500, 0.000, 0.000], [0.500, 0.500, 0.500], [0.000, 0.000, 0.500], [0.000, 0.500, 0.000]], "dos_ef_per_ev_fu": 1.2}


Tell me which of them is the least stable. Sure, it is a.


a | {"formula": "NdCd4Pb", "functional": "PBE", "state": "optimized geometry", "lattice_angstrom": [[-2.305, 0.880, -4.508], [1.164, -6.281, -1.821], [-7.302, -5.630, 2.635]], "species": ["Nd", "Nd", "Cd", "Cd", "Cd", "Cd", "Cd", "Cd", "Cd", "Cd", "Pb", "Pb"], "fractional_positions": [[0.750, 0.121, 0.258], [0.250, 0.879, 0.742], [0.250, 0.801, 0.414], [0.250, 0.964, 0.081], [0.750, 0.715, 0.586], [0.750, 0.545, 0.919], [0.750, 0.199, 0.586], [0.250, 0.285, 0.414], [0.750, 0.036, 0.919], [0.250, 0.455, 0.081], [0.750, 0.621, 0.257], [0.250, 0.379, 0.743]], "dos_ef_per_ev_fu": 1.8}


b | {"formula": "NdCd4Pb", "functional": "PBE", "state": "optimized geometry", "lattice_angstrom": [[-2.139, -1.129, -5.520], [3.559, -2.535, -4.151], [-0.982, -5.684, -1.747]], "species": ["Pb", "Nd", "Cd", "Cd", "Cd", "Cd"], "fractional_positions": [[0.000, 0.000, 0.000], [0.250, 0.250, 0.250], [0.625, 0.625, 0.125], [0.625, 0.125, 0.625], [0.625, 0.625, 0.625], [0.125, 0.625, 0.625]], "dos_ef_per_ev_fu": 1.9}


Tell me which of them is the least stable. Sure, it is b.